A relaxed Na2Y2Os crystal, computed with GGA-PBE.

Unit cell a=5.454 b=5.454 c=5.454 alpha=119.12 beta=119.12 gamma=91.54
Fractional coordinates of all 5 atoms:
1 Na 0.140 0.140 0.000
2 Na 0.860 0.860 0.000
3 Y 0.250 0.750 0.500
4 Y 0.750 0.250 0.500
5 Os 0.500 0.500 0.000

## Properties
total magnetization	0.00	μB/cell
ΔH_f (0 K)	0.8205	eV per atom

***

A relaxed NaY3Os crystal, computed with GGA-PBE.

Unit cell a=5.476 b=5.476 c=5.476 alpha=90.00 beta=90.00 gamma=90.00
Fractional coordinates of all 5 atoms:
1 Na 0.000 0.000 0.000
2 Y 0.000 0.500 0.500
3 Y 0.500 0.000 0.500
4 Y 0.500 0.500 0.000
5 Os 0.500 0.500 0.500

## Properties
excess energy over the best structure of this formula in the dataset	0	meV per atom
total magnetization	0.00	μB/cell
ΔH_f (0 K)	0.0098	eV per atom

***

> Among the records above, which one has the highest ΔH_f (0 K)?

Na2Y2Os

***

> ΔH_f (0 K) of number 2 (NaY3Os)?

0.0098 eV per atom

***

> ΔH_f (0 K) of number 2 (NaY3Os)?

0.0098 eV per atom